# 1
TlCrCl4 | PBE | relaxed

Geometry as extended XYZ:
```
6
Lattice="6.016 0.000 2.470 2.744 3.804 1.878 0.247 -0.668 7.961" Properties=species:S:1:pos:R:3 pbc="T T T"
Tl 4.380 1.902 2.174
Cr 0.123 -0.334 3.980
Cl 5.798 1.734 7.284
Cl 8.083 2.544 10.279
Cl 0.924 0.591 2.029
Cl 3.210 1.402 5.025
```

Values from the calculation:
VASP energy   -4.081 eV/atom
DOS at the Fermi energy   6.765 states/eV/cell
Space group   C2/m
Polymorph energy (0 for the lowest one)   0.1746 eV/atom
Volume   30.478 A^3/atom
Formation energy without anion corrections   -0.85 eV/atom

# 2
TlCrCl2 | PBE | relaxed

Geometry as extended XYZ:
```
4
Lattice="3.338 0.000 0.000 0.000 3.339 0.000 0.000 0.000 8.410" Properties=species:S:1:pos:R:3 pbc="T T T"
Cr 1.669 1.669 2.103
Tl 1.669 1.669 6.308
Cl 0.000 0.000 0.544
Cl 0.000 0.000 3.661
```

Values from the calculation:
VASP energy   -4.303 eV/atom
DOS at the Fermi energy   4.707 states/eV/cell
Space group   P4/mmm
Polymorph energy (0 for the lowest one)   0.2199 eV/atom
Volume   23.433 A^3/atom
Formation energy without anion corrections   -0.38 eV/atom

# 3
Tl2CrCl6 | PBE | relaxed

Geometry as extended XYZ:
```
9
Lattice="6.043 0.000 3.489 2.014 5.697 3.489 0.000 0.000 6.978" Properties=species:S:1:pos:R:3 pbc="T T T"
Tl 2.014 1.424 3.489
Tl 6.043 4.273 10.466
Cr 0.000 0.000 0.000
Cl 2.954 4.368 8.839
Cl 2.954 4.368 5.116
Cl 5.103 1.329 8.839
Cl 5.103 1.329 5.116
Cl 6.178 4.368 6.978
Cl 1.879 1.329 6.978
```

Values from the calculation:
VASP energy   -3.803 eV/atom
DOS at the Fermi energy   7.654 states/eV/cell
Space group   Fm-3m
Polymorph energy (0 for the lowest one)   0.0000 eV/atom
Volume   26.690 A^3/atom
Formation energy without anion corrections   -0.98 eV/atom

# 4
TlCrCl2 | PBE | relaxed

Geometry as extended XYZ:
```
4
Lattice="-7.270 -1.064 6.775 -4.670 -0.967 8.783 -6.049 1.830 7.743" Properties=species:S:1:pos:R:3 pbc="T T T"
Cr -8.994 -0.100 11.651
Tl 0.000 0.000 0.000
Cl -15.873 -0.177 20.561
Cl -2.116 -0.024 2.741
```

Values from the calculation:
VASP energy   -4.209 eV/atom
DOS at the Fermi energy   4.417 states/eV/cell
Space group   R-3m
Polymorph energy (0 for the lowest one)   0.3140 eV/atom
Volume   22.963 A^3/atom
Formation energy without anion corrections   -0.29 eV/atom

# 5
Tl3CrCl6 | PBE | relaxed

Geometry as extended XYZ:
```
20
Lattice="-3.161 4.362 4.687 -3.241 -6.255 3.636 8.286 -0.502 6.522" Properties=species:S:1:pos:R:3 pbc="T T T"
Tl 1.593 -3.914 10.801
Tl -3.201 -0.946 4.162
Tl 0.291 1.520 4.044
Tl 0.212 -3.564 3.871
Tl 4.143 -0.251 3.261
Tl 1.671 1.170 10.974
Cr 0.942 -1.197 7.423
Cr 0.000 0.000 0.000
Cl 5.209 1.681 10.276
Cl 1.770 1.025 7.642
Cl -0.990 -0.365 6.327
Cl 2.874 -2.029 8.519
Cl 0.114 -3.419 7.203
Cl -3.325 -4.075 4.570
Cl 2.054 -1.393 5.335
Cl -0.800 -0.920 2.046
Cl 6.052 -0.253 5.765
Cl -4.168 -2.142 9.080
Cl 2.683 -1.474 12.800
Cl -0.170 -1.001 9.510
```

Values from the calculation:
VASP energy   -3.847 eV/atom
Space group   P2_1/c
Polymorph energy (0 for the lowest one)   0.0000 eV/atom
Volume   29.868 A^3/atom
Formation energy without anion corrections   -1.07 eV/atom

# 6
Tl2CrCl4 | PBE | relaxed

Geometry as extended XYZ:
```
7
Lattice="6.638 0.777 0.000 0.673 6.650 0.000 -3.656 -3.713 5.214" Properties=species:S:1:pos:R:3 pbc="T T T"
Tl 0.337 3.325 2.607
Tl 3.319 0.388 2.607
Cr 6.638 0.777 0.000
Cl 5.659 5.754 0.000
Cl 1.647 1.679 0.000
Cl 0.003 -0.002 2.351
Cl 3.658 3.711 2.862
```

Values from the calculation:
VASP energy   -4.102 eV/atom
DOS at the Fermi energy   0.000 states/eV/cell
Space group   I4/mmm
Volume   32.487 A^3/atom
Formation energy without anion corrections   -1.00 eV/atom